Entry 1:
Compound: ZrMnTe3
Source: Alexandria
Functional: PBE
Structure: optimized geometry

Properties
- Formation energy without anion corrections: -2.6 eV per formula unit
- V: 270.9 Å³ per cell
- Offset from the most stable computed form: 0 meV/atom
- Calculated total energy: -5.942 eV/atom

The structure in extended XYZ format:
```
10
Lattice="-0.407 1.389 -3.723 -8.062 -1.454 0.339 -0.567 7.739 2.949" Properties=species:S:1:pos:R:3 pbc="T T T"
Zr -3.301 1.620 -0.106
Zr -5.735 6.054 -0.328
Mn -7.248 1.618 0.324
Mn -1.788 6.056 -0.759
Te -5.558 3.167 -1.425
Te -3.479 4.507 0.990
Te -3.428 8.087 0.178
Te -7.612 4.282 1.358
Te -5.608 -0.413 -0.612
Te -1.425 3.392 -1.793
```

=====

Entry 2:
Compound: YSc2InH
Source: Alexandria
Functional: PBE
Structure: optimized geometry

Properties
- V: 99.2 Å³ per cell
- Calculated total energy: -5.418 eV/atom

The structure in extended XYZ format:
```
5
Lattice="-3.746 1.341 2.325 1.693 -1.917 3.833 2.112 4.026 1.081" Properties=species:S:1:pos:R:3 pbc="T T T"
Y 1.056 2.013 0.541
Sc 0.846 -0.959 1.917
Sc -1.873 0.671 1.162
H 0.000 0.000 0.000
In 0.029 1.725 3.620
```